Entry 1:
VASP calculation (PBE) on a relaxed TlSn2Se crystal.

Computed properties:
Spin magnetization, μB per atom: 0.0000
Offset from the most stable computed form, meV per atom: 95
Uncorrected formation energy, meV per atom: 48.6
ρ, g cm⁻³: 7.72

Cell lengths 5.929, 5.929, 5.929 Å; angles 49.85, 49.85, 49.85 degrees
Fractional coordinates of all 4 atoms:
Tl1 0.000 0.000 0.000
Sn1 0.229 0.229 0.229
Sn2 0.771 0.771 0.771
Se1 0.500 0.500 0.500

Entry 2:
VASP calculation (PBE) on a relaxed Tl3Sn5Se12 crystal.

Computed properties:
Spin magnetization, μB per atom: 0.0000
Uncorrected formation energy, meV per atom: -239.8
ρ, g cm⁻³: 5.81

Cell lengths 14.734, 14.734, 14.734 Å; angles 109.47, 109.47, 109.47 degrees
Fractional coordinates of all 80 atoms:
Tl1 0.125 0.250 0.375
Tl2 0.125 0.375 0.750
Tl3 0.250 0.375 0.125
Tl4 0.250 0.875 0.625
Tl5 0.375 0.125 0.250
Tl6 0.375 0.750 0.125
Tl7 0.625 0.250 0.875
Tl8 0.625 0.875 0.750
Tl9 0.750 0.125 0.375
Tl10 0.750 0.625 0.875
Tl11 0.875 0.625 0.250
Tl12 0.875 0.750 0.625
Sn1 0.000 0.000 0.000
Sn2 0.000 0.000 0.500
Sn3 0.000 0.500 0.000
Sn4 0.000 0.500 0.500
Sn5 0.125 0.750 0.875
Sn6 0.125 0.875 0.250
Sn7 0.250 0.125 0.875
Sn8 0.250 0.625 0.375
Sn9 0.375 0.250 0.625
Sn10 0.375 0.625 0.750
Sn11 0.500 0.000 0.000
Sn12 0.500 0.000 0.500
Sn13 0.500 0.500 0.000
Sn14 0.500 0.500 0.500
Sn15 0.625 0.375 0.250
Sn16 0.625 0.750 0.375
Sn17 0.750 0.375 0.625
Sn18 0.750 0.875 0.125
Sn19 0.875 0.125 0.750
Sn20 0.875 0.250 0.125
Se1 0.032 0.208 0.118
Se2 0.032 0.323 0.914
Se3 0.086 0.618 0.409
Se4 0.086 0.968 0.677
Se5 0.091 0.708 0.677
Se6 0.091 0.882 0.414
Se7 0.118 0.032 0.208
Se8 0.118 0.586 0.909
Se9 0.177 0.208 0.591
Se10 0.177 0.468 0.586
Se11 0.208 0.118 0.032
Se12 0.208 0.591 0.177
Se13 0.292 0.323 0.909
Se14 0.292 0.468 0.382
Se15 0.323 0.909 0.292
Se16 0.323 0.914 0.032
Se17 0.382 0.292 0.468
Se18 0.382 0.591 0.914
Se19 0.409 0.086 0.618
Se20 0.409 0.823 0.792
Se21 0.414 0.091 0.882
Se22 0.414 0.823 0.532
Se23 0.468 0.382 0.292
Se24 0.468 0.586 0.177
Se25 0.532 0.414 0.823
Se26 0.532 0.618 0.708
Se27 0.586 0.177 0.468
Se28 0.586 0.909 0.118
Se29 0.591 0.177 0.208
Se30 0.591 0.914 0.382
Se31 0.618 0.409 0.086
Se32 0.618 0.708 0.532
Se33 0.677 0.086 0.968
Se34 0.677 0.091 0.708
Se35 0.708 0.532 0.618
Se36 0.708 0.677 0.091
Se37 0.792 0.409 0.823
Se38 0.792 0.882 0.968
Se39 0.823 0.532 0.414
Se40 0.823 0.792 0.409
Se41 0.882 0.414 0.091
Se42 0.882 0.968 0.792
Se43 0.909 0.118 0.586
Se44 0.909 0.292 0.323
Se45 0.914 0.032 0.323
Se46 0.914 0.382 0.591
Se47 0.968 0.677 0.086
Se48 0.968 0.792 0.882

Entry 3:
VASP calculation (PBE) on a relaxed TlSn2Se crystal.

Computed properties:
Spin magnetization, μB per atom: 0.0000
Offset from the most stable computed form, meV per atom: 139
Uncorrected formation energy, meV per atom: 93.0
ρ, g cm⁻³: 5.77

Cell lengths 8.422, 8.422, 8.422 Å; angles 134.45, 134.45, 66.38 degrees
Fractional coordinates of all 8 atoms:
Tl1 0.000 0.000 0.000
Tl2 0.750 0.250 0.500
Sn1 0.139 0.625 0.014
Sn2 0.375 0.389 0.514
Sn3 0.611 0.125 0.986
Sn4 0.875 0.861 0.486
Se1 0.250 0.750 0.500
Se2 0.500 0.500 0.000

Entry 4:
VASP calculation (PBE) on a relaxed Tl2SnSe4 crystal.

Computed properties:
Spin magnetization, μB per atom: 0.0000
Offset from the most stable computed form, meV per atom: 52
Uncorrected formation energy, meV per atom: -258.2
ρ, g cm⁻³: 6.04

Cell lengths 6.794, 3.969, 8.963 Å; angles 90.00, 106.41, 90.00 degrees
Fractional coordinates of all 7 atoms:
Tl1 0.165 0.000 0.358
Tl2 0.835 0.000 0.642
Sn1 0.500 0.500 0.000
Se1 0.068 0.500 0.893
Se2 0.482 0.000 0.783
Se3 0.518 0.000 0.217
Se4 0.932 0.500 0.107